Nb3CrSe6 | GGA-PBEsol | optimized geometry

Energy relative to the elements, uncorrected   -0.87 eV/atom
D(E_F)   4.857 states/eV/cell
E   -148.99 eV/cell
Space-group type   No. 182

abc: 5.970 5.970 12.489
angles: 90.00 90.00 120.00
Fractional coordinates of all 20 atoms:
Nb (0.000, 0.000, 0.000)
Nb (0.000, 0.000, 0.500)
Nb (0.333, 0.667, 0.001)
Nb (0.333, 0.667, 0.499)
Nb (0.667, 0.333, 0.501)
Nb (0.667, 0.333, 0.999)
Cr (0.333, 0.667, 0.250)
Cr (0.667, 0.333, 0.750)
Se (0.006, 0.334, 0.866)
Se (0.006, 0.673, 0.634)
Se (0.327, 0.334, 0.634)
Se (0.327, 0.994, 0.866)
Se (0.334, 0.006, 0.134)
Se (0.334, 0.327, 0.366)
Se (0.666, 0.673, 0.866)
Se (0.666, 0.994, 0.634)
Se (0.673, 0.006, 0.366)
Se (0.673, 0.666, 0.134)
Se (0.994, 0.327, 0.134)
Se (0.994, 0.666, 0.366)